Entry from Alexandria: a relaxed ZrZnCr2 crystal (GGA-PBE).

Lattice parameters (Å, degrees): 4.089 4.089 3.830 90.00 90.00 90.00
Sites, in units of the cell vectors:
Zr: 0.000 0.000 0.000
Zn: 0.500 0.500 0.000
Cr: 0.000 0.500 0.500
Cr: 0.500 0.000 0.500

Properties
space group: P4/mmm
volume: 16.01 Å³ per atom
ΔE_f: 105.0 kJ/mol of formula units
total magnetization: 1.28 μB/atom